# PBE-GGA CdSb2CI, optimized geometry
data_CdSb2CI
_chemical_formula_sum 'Cd1 Sb2 C1 I1'
_cell_length_a 5.5858
_cell_length_b 5.5858
_cell_length_c 5.8311
_cell_angle_alpha 90.00
_cell_angle_beta 90.00
_cell_angle_gamma 90.00
_symmetry_space_group_name_H-M 'P 4/m m m'
_symmetry_Int_Tables_number 123
_symmetry_space_group_name_Hall '-P 4 2'
loop_
_atom_site_label
_atom_site_type_symbol
_atom_site_fract_x
_atom_site_fract_y
_atom_site_fract_z
_atom_site_occupancy
Cd1 Cd 0.0000 0.0000 0.0000 1
Sb1 Sb 0.0000 0.5000 0.0000 1
C1 C 0.5000 0.5000 0.5000 1
I1 I 0.0000 0.0000 0.5000 1
# volume	36.4	Å³/atom
# formation energy without anion corrections	1.938	eV per atom
# E	-2.05	eV per atom

=====

# PBE-GGA ScCdCI2, optimized geometry
data_ScCdCI2
_chemical_formula_sum 'Sc1 Cd1 C1 I2'
_cell_length_a 5.9272
_cell_length_b 5.9272
_cell_length_c 4.3289
_cell_angle_alpha 90.00
_cell_angle_beta 90.00
_cell_angle_gamma 90.00
_symmetry_space_group_name_H-M 'P 4/m m m'
_symmetry_Int_Tables_number 123
_symmetry_space_group_name_Hall '-P 4 2'
loop_
_atom_site_label
_atom_site_type_symbol
_atom_site_fract_x
_atom_site_fract_y
_atom_site_fract_z
_atom_site_occupancy
Sc1 Sc 0.0000 0.0000 0.0000 1
Cd1 Cd 0.5000 0.5000 0.5000 1
C1 C 0.0000 0.0000 0.5000 1
I1 I 0.0000 0.5000 0.0000 1
# volume	30.4	Å³/atom
# formation energy without anion corrections	0.416	eV per atom
# E	-3.50	eV per atom

=====

# PBE-GGA CdTe2CI, optimized geometry
data_CdTe2CI
_chemical_formula_sum 'Cd1 Te2 C1 I1'
_cell_length_a 5.7196
_cell_length_b 5.7196
_cell_length_c 5.8444
_cell_angle_alpha 90.00
_cell_angle_beta 90.00
_cell_angle_gamma 90.00
_symmetry_space_group_name_H-M 'P 4/m m m'
_symmetry_Int_Tables_number 123
_symmetry_space_group_name_Hall '-P 4 2'
loop_
_atom_site_label
_atom_site_type_symbol
_atom_site_fract_x
_atom_site_fract_y
_atom_site_fract_z
_atom_site_occupancy
Cd1 Cd 0.0000 0.0000 0.0000 1
Te1 Te 0.0000 0.5000 0.0000 1
C1 C 0.5000 0.5000 0.5000 1
I1 I 0.0000 0.0000 0.5000 1
# volume	38.2	Å³/atom
# formation energy without anion corrections	1.760	eV per atom
# E	-1.83	eV per atom

=====

# PBE-GGA CdTeCI2, optimized geometry
data_CdTeCI2
_chemical_formula_sum 'Cd1 Te1 C1 I2'
_cell_length_a 5.1711
_cell_length_b 5.1711
_cell_length_c 4.8292
_cell_angle_alpha 90.00
_cell_angle_beta 90.00
_cell_angle_gamma 90.00
_symmetry_space_group_name_H-M 'P 4/m m m'
_symmetry_Int_Tables_number 123
_symmetry_space_group_name_Hall '-P 4 2'
loop_
_atom_site_label
_atom_site_type_symbol
_atom_site_fract_x
_atom_site_fract_y
_atom_site_fract_z
_atom_site_occupancy
Cd1 Cd 0.0000 0.0000 0.0000 1
Te1 Te 0.5000 0.5000 0.0000 1
C1 C 0.5000 0.5000 0.5000 1
I1 I 0.0000 0.5000 0.5000 1
# volume	25.8	Å³/atom
# formation energy without anion corrections	0.969	eV per atom
# E	-2.31	eV per atom

=====

# PBE-GGA CdTeCI2, optimized geometry
data_CdTeCI2
_chemical_formula_sum 'Cd1 Te1 C1 I2'
_cell_length_a 5.8623
_cell_length_b 5.8623
_cell_length_c 5.8662
_cell_angle_alpha 90.00
_cell_angle_beta 90.00
_cell_angle_gamma 90.00
_symmetry_space_group_name_H-M 'P 4/m m m'
_symmetry_Int_Tables_number 123
_symmetry_space_group_name_Hall '-P 4 2'
loop_
_atom_site_label
_atom_site_type_symbol
_atom_site_fract_x
_atom_site_fract_y
_atom_site_fract_z
_atom_site_occupancy
Cd1 Cd 0.0000 0.0000 0.0000 1
Te1 Te 0.0000 0.0000 0.5000 1
C1 C 0.5000 0.5000 0.5000 1
I1 I 0.0000 0.5000 0.0000 1
# volume	40.3	Å³/atom
# formation energy without anion corrections	1.585	eV per atom
# E	-1.69	eV per atom

=====

# PBE-GGA CdTe2CI, optimized geometry
data_CdTe2CI
_chemical_formula_sum 'Cd1 Te2 C1 I1'
_cell_length_a 4.9075
_cell_length_b 4.9075
_cell_length_c 5.0687
_cell_angle_alpha 90.00
_cell_angle_beta 90.00
_cell_angle_gamma 90.00
_symmetry_space_group_name_H-M 'P 4/m m m'
_symmetry_Int_Tables_number 123
_symmetry_space_group_name_Hall '-P 4 2'
loop_
_atom_site_label
_atom_site_type_symbol
_atom_site_fract_x
_atom_site_fract_y
_atom_site_fract_z
_atom_site_occupancy
Cd1 Cd 0.0000 0.0000 0.0000 1
Te1 Te 0.0000 0.5000 0.5000 1
C1 C 0.5000 0.5000 0.5000 1
I1 I 0.5000 0.5000 0.0000 1
# volume	24.4	Å³/atom
# formation energy without anion corrections	0.968	eV per atom
# E	-2.63	eV per atom

=====

# PBE-GGA TlCd2CI, optimized geometry
data_TlCd2CI
_chemical_formula_sum 'Tl1 Cd2 C1 I1'
_cell_length_a 5.7973
_cell_length_b 5.7973
_cell_length_c 6.3167
_cell_angle_alpha 90.00
_cell_angle_beta 90.00
_cell_angle_gamma 90.00
_symmetry_space_group_name_H-M 'P 4/m m m'
_symmetry_Int_Tables_number 123
_symmetry_space_group_name_Hall '-P 4 2'
loop_
_atom_site_label
_atom_site_type_symbol
_atom_site_fract_x
_atom_site_fract_y
_atom_site_fract_z
_atom_site_occupancy
Tl1 Tl 0.0000 0.0000 0.0000 1
Cd1 Cd 0.0000 0.5000 0.0000 1
C1 C 0.5000 0.5000 0.5000 1
I1 I 0.0000 0.0000 0.5000 1
# volume	42.5	Å³/atom
# formation energy without anion corrections	1.556	eV per atom
# E	-1.44	eV per atom

=====

# PBE-GGA Zr2CdCI, optimized geometry
data_Zr2CdCI
_chemical_formula_sum 'Zr2 Cd1 C1 I1'
_cell_length_a 4.5843
_cell_length_b 4.5843
_cell_length_c 5.2254
_cell_angle_alpha 90.00
_cell_angle_beta 90.00
_cell_angle_gamma 90.00
_symmetry_space_group_name_H-M 'P 4/m m m'
_symmetry_Int_Tables_number 123
_symmetry_space_group_name_Hall '-P 4 2'
loop_
_atom_site_label
_atom_site_type_symbol
_atom_site_fract_x
_atom_site_fract_y
_atom_site_fract_z
_atom_site_occupancy
Zr1 Zr 0.0000 0.5000 0.0000 1
Cd1 Cd 0.0000 0.0000 0.5000 1
C1 C 0.5000 0.5000 0.0000 1
I1 I 0.5000 0.5000 0.5000 1
# volume	22.0	Å³/atom
# formation energy without anion corrections	0.397	eV per atom
# E	-5.36	eV per atom